Record 1
# PBE-GGA CsPuAgSe2, relaxed
# magnetization = 6.00 μB per formula unit
# formation energy without anion corrections = -904 meV/atom
data_CsPuAgSe2
_cell_length_a 6.3048
_cell_length_b 16.1272
_cell_length_c 6.4695
_cell_angle_alpha 90.00
_cell_angle_beta 90.00
_cell_angle_gamma 90.00
_symmetry_space_group_name_H-M 'C m m e'
_symmetry_Int_Tables_number 67
_symmetry_space_group_name_Hall '-C 2a 2'
loop_
_atom_site_label
_atom_site_type_symbol
_atom_site_fract_x
_atom_site_fract_y
_atom_site_fract_z
Cs1 Cs 0.0000 0.2500 0.2302
Pu1 Pu 0.2500 0.0000 0.5000
Ag1 Ag 0.0000 0.0000 0.0000
Se1 Se 0.0000 0.1175 0.7372

***

Record 2
# PBE-GGA CsPu4Ag3Te12, relaxed
# magnetization = 17.71 μB per formula unit
# formation energy without anion corrections = -446 meV/atom
data_CsPu4Ag3Te12
_cell_length_a 11.2369
_cell_length_b 11.2369
_cell_length_c 11.2369
_cell_angle_alpha 90.00
_cell_angle_beta 90.00
_cell_angle_gamma 90.00
_symmetry_space_group_name_H-M 'I m -3'
_symmetry_Int_Tables_number 204
_symmetry_space_group_name_Hall '-I 2 2 3'
loop_
_atom_site_label
_atom_site_type_symbol
_atom_site_fract_x
_atom_site_fract_y
_atom_site_fract_z
Cs1 Cs 0.0000 0.0000 0.0000
Pu1 Pu 0.2500 0.2500 0.2500
Ag1 Ag 0.0000 0.0000 0.5000
Te1 Te 0.0000 0.1689 0.3191